Entry 1:
The following is a SCAN calculation of a PBEsol-optimized structure of LiNbZnO4, from Alexandria via LeMat-Bulk.

Formation energy from raw total energies = -2383 meV per atom

Geometry as CIF:
```
data_LiNbZnO4
_chemical_formula_sum 'Li4 Nb4 Zn4 O16'
_cell_length_a 6.0870
_cell_length_b 6.0870
_cell_length_c 8.3705
_cell_angle_alpha 90.00
_cell_angle_beta 90.00
_cell_angle_gamma 90.00
_space_group_name_H-M_alt 'P 43 2 2'
_space_group_IT_number 95
loop_
_space_group_symop_operation_xyz
'x,y,z'
'-y,x,z+3/4'
'-x,-y,z+1/2'
'y,-x,z+1/4'
'x,-y,-z+1/2'
'-y,-x,-z+3/4'
'-x,y,-z'
'y,x,-z+1/4'
loop_
_atom_site_label
_atom_site_fract_x
_atom_site_fract_y
_atom_site_fract_z
_atom_site_occupancy
Li1 0.0000 0.2159 0.0000 1
Nb1 0.2125 0.5000 0.2500 1
Zn1 0.2587 0.2587 0.6250 1
O1 0.0144 0.2608 0.2519 1
O2 0.2656 0.4816 0.0144 1
```

Entry 2:
The following is a SCAN calculation of a PBEsol-optimized structure of CdP2PbS, from Alexandria via LeMat-Bulk.

Formation energy from raw total energies = 802 meV per atom

Geometry as CIF:
```
data_CdP2PbS
_chemical_formula_sum 'Cd1 P2 Pb1 S1'
_cell_length_a 4.8784
_cell_length_b 4.8784
_cell_length_c 5.0163
_cell_angle_alpha 90.00
_cell_angle_beta 90.00
_cell_angle_gamma 90.00
_space_group_name_H-M_alt 'P 4/m m m'
_space_group_IT_number 123
_space_group_name_Hall '-P 4 2'
loop_
_atom_site_label
_atom_site_fract_x
_atom_site_fract_y
_atom_site_fract_z
_atom_site_occupancy
Cd1 0.0000 0.0000 0.0000 1
P1 0.0000 0.5000 0.0000 1
Pb1 0.5000 0.5000 0.5000 1
S1 0.0000 0.0000 0.5000 1
```

Entry 3:
The following is a SCAN calculation of a PBEsol-optimized structure of YReIr4, from Alexandria via LeMat-Bulk.

E_form = -17 meV/atom

Geometry as CIF:
```
data_YReIr4
_chemical_formula_sum 'Y4 Re4 Ir16'
_cell_length_a 7.3033
_cell_length_b 7.3033
_cell_length_c 7.3033
_cell_angle_alpha 90.00
_cell_angle_beta 90.00
_cell_angle_gamma 90.00
_space_group_name_H-M_alt 'F -4 3 m'
_space_group_IT_number 216
_space_group_name_Hall 'F -4 2 3'
loop_
_atom_site_label
_atom_site_fract_x
_atom_site_fract_y
_atom_site_fract_z
_atom_site_occupancy
Y1 0.0000 0.0000 0.0000 1
Re1 0.2500 0.2500 0.2500 1
Ir1 0.1247 0.1247 0.6247 1
```